Ho2Zn2Ge3 | PBE | relaxed

Cell and atoms, written as extended XYZ:
```
14
Lattice="2.1665 -9.7534 0.0000 2.1665 9.7534 0.0000 0.0000 0.0000 6.5630" Properties=species:S:1:pos:R:3 pbc="T T T"
Ho 2.1665 9.0849 4.9223
Ho 2.1665 6.7567 1.6408
Ho 2.1665 -6.7567 4.9223
Ho 2.1665 -9.0849 1.6408
Zn 2.1665 3.9177 0.2202
Zn 2.1665 3.9177 3.0614
Zn 2.1665 -3.9177 3.5017
Zn 2.1665 -3.9177 6.3429
Ge 2.1665 5.9091 4.9223
Ge 2.1665 1.3544 3.6153
Ge 2.1665 1.3544 6.2293
Ge 2.1665 -1.3544 0.3338
Ge 2.1665 -1.3544 2.9477
Ge 2.1665 -5.9091 1.6408
```

## Properties
Energy of formation   -0.475 eV/atom
Size of the total moment   0.0 μB per cell
Volume   277.4 Å³/cell

Ho2Zn3Ge | PBE | relaxed

Cell and atoms, written as extended XYZ:
```
12
Lattice="0.0000 4.3798 7.5919 3.5745 0.0000 7.5919 3.5745 4.3798 0.0000" Properties=species:S:1:pos:R:3 pbc="T T T"
Ho 5.3839 4.3798 7.5919
Ho 1.7873 2.1899 3.7960
Ho 5.3618 6.5697 11.3879
Ho 1.7651 4.3798 7.5919
Zn 3.5745 4.3798 2.5087
Zn 3.5745 2.1867 6.3445
Zn 3.5745 2.1867 8.8393
Zn 3.5745 6.5729 6.3445
Zn 3.5745 6.5729 8.8393
Zn 3.5745 4.3798 12.6751
Ge 3.5745 4.3798 5.0630
Ge 3.5745 4.3798 10.1209
```

## Properties
Energy of formation   -0.520 eV/atom
Size of the total moment   0.0 μB per cell
Volume   237.7 Å³/cell

Ho3Zn2Ge4 | PBE | relaxed

Cell and atoms, written as extended XYZ:
```
9
Lattice="5.5922 -2.0629 0.0000 5.5922 2.0629 0.0000 -3.2342 0.0000 7.9255" Properties=species:S:1:pos:R:3 pbc="T T T"
Ho 0.0000 0.0000 0.0000
Ho 3.2240 0.0000 2.4301
Ho 4.7263 0.0000 5.4955
Zn 1.4114 0.0000 5.1904
Zn 6.5389 0.0000 2.7352
Ge -0.3734 0.0000 3.1649
Ge 0.2052 0.0000 7.4169
Ge 7.7451 0.0000 0.5087
Ge 8.3237 0.0000 4.7606
```

## Properties
Energy of formation   -0.589 eV/atom
Size of the total moment   0.0 μB per cell
Volume   182.9 Å³/cell

Ho2ZnGe3 | PBE | relaxed

Cell and atoms, written as extended XYZ:
```
24
Lattice="6.6866 0.0000 0.0000 0.0000 4.1956 0.0000 0.0000 0.0000 17.8147" Properties=species:S:1:pos:R:3 pbc="T T T"
Ho 1.2632 1.0489 1.4864
Ho 1.2863 1.0489 5.3117
Ho 2.0570 3.1467 14.2191
Ho 2.0801 3.1467 10.3937
Ho 4.6065 1.0489 7.4210
Ho 4.6296 1.0489 3.5956
Ho 5.4003 3.1467 12.5030
Ho 5.4235 3.1467 16.3283
Zn 0.3497 3.1467 7.8276
Zn 2.9936 1.0489 16.7349
Zn 3.6930 3.1467 1.0798
Zn 6.3369 1.0489 9.9871
Ge 0.0306 1.0489 14.6759
Ge 0.8220 1.0489 12.2502
Ge 1.6192 3.1467 17.1885
Ge 1.7241 1.0489 8.2811
Ge 2.5213 3.1467 3.3429
Ge 3.3127 3.1467 5.7686
Ge 3.3739 1.0489 12.0462
Ge 4.1653 1.0489 14.4718
Ge 4.9625 3.1467 9.5336
Ge 5.0674 1.0489 0.6262
Ge 5.8646 3.1467 5.5645
Ge 6.6561 3.1467 3.1388
```

## Properties
Energy of formation   -0.638 eV/atom
Size of the total moment   0.0 μB per cell
Volume   499.8 Å³/cell